1.
Material: CsGe
Method: DFT, GGA-PBEsol
State: optimized geometry

Unit cell a=11.300 b=11.300 c=18.377 alpha=90.00 beta=90.00 gamma=90.00
Space group I4_1/acd (No. 142, origin choice 2)
One atom of each set of equivalent atoms:
Cs (0.119, 0.131, 0.125)
Cs (0.143, 0.000, 0.750)
Ge (0.059, 0.153, 0.925)

Properties
The crystal system is tetragonal. Its formation energy is -241 meV/atom. The theoretical density comes out at 4.655 Mg/m³.

=====

2.
Material: CsHg2GeH
Method: DFT, GGA-PBEsol
State: optimized geometry

Unit cell a=7.640 b=7.640 c=6.937 alpha=90.00 beta=90.00 gamma=90.00
Space group P4/mmm (No. 123)
One atom of each set of equivalent atoms:
Cs (0.000, 0.000, 0.000)
Hg (0.000, 0.500, 0.000)
Ge (0.000, 0.000, 0.500)
H (0.500, 0.500, 0.500)

Properties
The crystal system is tetragonal. The theoretical density comes out at 2.492 Mg/m³. The calculation puts the final energy at -0.92 eV per atom.

=====

3.
Material: CsMn2GeH
Method: DFT, GGA-PBEsol
State: optimized geometry

Unit cell a=4.806 b=4.806 c=3.802 alpha=90.00 beta=90.00 gamma=90.00
Space group P4/mmm (No. 123)
One atom of each set of equivalent atoms:
Cs (0.000, 0.000, 0.000)
Mn (0.000, 0.500, 0.500)
Ge (0.500, 0.500, 0.000)
H (0.500, 0.500, 0.500)

Properties
The crystal system is tetragonal. The theoretical density comes out at 5.984 Mg/m³. The calculation puts the final energy at -4.59 eV per atom.

=====

4.
Material: CsHf2GeRu
Method: DFT, GGA-PBEsol
State: optimized geometry

Unit cell a=4.953 b=4.953 c=5.875 alpha=90.00 beta=90.00 gamma=90.00
Space group P4/mmm (No. 123)
One atom of each set of equivalent atoms:
Cs (0.000, 0.000, 0.000)
Hf (0.000, 0.500, 0.500)
Ge (0.000, 0.000, 0.500)
Ru (0.500, 0.500, 0.000)

Properties
The crystal system is tetragonal. Its formation energy is 1652 meV/atom. The theoretical density comes out at 7.647 Mg/m³.

=====

5.
Material: CsHf2GeSe
Method: DFT, GGA-PBEsol
State: optimized geometry

Unit cell a=4.996 b=4.996 c=6.070 alpha=90.00 beta=90.00 gamma=90.00
Space group P4/mmm (No. 123)
One atom of each set of equivalent atoms:
Cs (0.000, 0.000, 0.000)
Hf (0.000, 0.500, 0.500)
Ge (0.500, 0.500, 0.000)
Se (0.000, 0.000, 0.500)

Properties
The crystal system is tetragonal. The formation energy (no corrections) is 0.673 eV/atom. The theoretical density comes out at 7.032 Mg/m³.

=====

6.
Material: Cs2Hg3Ge2S8
Method: DFT, GGA-PBEsol
State: optimized geometry

Unit cell a=6.588 b=7.782 c=9.071 alpha=108.34 beta=91.67 gamma=107.87
Space group P-1 (No. 2)
One atom of each set of equivalent atoms:
Cs (0.110, 0.457, 0.245)
Hg (0.309, 0.068, 0.387)
Hg (0.500, 0.000, 0.000)
Ge (0.263, 0.165, 0.765)
S (0.057, 0.861, 0.153)
S (0.285, 0.881, 0.628)
S (0.333, 0.353, 0.620)
S (0.496, 0.298, 0.989)

Properties
The crystal system is triclinic. The formation energy (no corrections) is -0.555 eV/atom. The theoretical density comes out at 5.067 Mg/m³.